! GGA-PBE Th3SnP2, relaxed; values from VASP
&SYSTEM
  ibrav = 0, nat = 6, ntyp = 3
/
ATOMIC_SPECIES
Th 232.04 Th.upf
Sn 118.71 Sn.upf
P 30.97 P.upf
CELL_PARAMETERS angstrom
4.091 0.000 -1.159
-0.635 5.604 -2.242
-0.111 -0.335 7.407
ATOMIC_POSITIONS angstrom
Th 1.027 1.567 3.625
Th 0.000 0.000 0.000
Th 2.318 3.702 0.380
Sn -0.318 2.802 -1.121
P 2.572 0.803 1.278
P 0.773 4.465 2.727
! Final energy   -43.85 eV per cell
! ΔE_f   -1.13 eV per atom
! SG   Immm
! Crystal system   orthorhombic